# 1
TaV2Te4 (PBE, relaxed); total energy = -6.30 eV/atom; ΔE_f (raw) = -1.46 eV per formula unit
1.0
14.710 0.000 0.000
0.000 3.539 0.000
-2.769 0.000 6.079
Ta V Te
2 4 8
Direct
0.000 0.000 0.000
0.500 0.500 0.000
0.246 0.500 0.669
0.254 0.000 0.331
0.746 0.000 0.669
0.754 0.500 0.331
0.106 0.000 0.453
0.144 0.500 0.975
0.356 0.000 0.025
0.394 0.500 0.547
0.606 0.500 0.453
0.644 0.000 0.975
0.856 0.500 0.025
0.894 0.000 0.547

# 2
PrInCu5 (PBE, relaxed); total energy = -4.20 eV/atom; ΔE_f = -204 meV/atom
1.0
8.445 0.000 0.000
0.000 5.105 0.000
0.000 0.000 10.620
Pr In Cu
4 4 20
Direct
0.244 0.250 0.060
0.256 0.750 0.560
0.744 0.250 0.440
0.756 0.750 0.940
0.139 0.750 0.862
0.361 0.250 0.362
0.639 0.750 0.638
0.861 0.250 0.138
0.056 0.750 0.108
0.069 0.000 0.312
0.069 0.500 0.312
0.081 0.250 0.515
0.183 0.250 0.742
0.317 0.750 0.242
0.419 0.750 0.015
0.431 0.000 0.812
0.431 0.500 0.812
0.444 0.250 0.608
0.556 0.750 0.392
0.569 0.000 0.188
0.569 0.500 0.188
0.581 0.250 0.985
0.683 0.250 0.758
0.817 0.750 0.258
0.919 0.750 0.485
0.931 0.000 0.688
0.931 0.500 0.688
0.944 0.250 0.892

# 3
Mg2Zn5AgIr2 (PBE, relaxed); total energy = -3.22 eV/atom; ΔE_f = -212 meV/atom
1.0
9.082 0.000 0.000
0.000 9.082 0.000
0.000 0.000 4.035
Mg Zn Ag Ir
4 10 2 4
Direct
0.170 0.330 0.000
0.330 0.830 0.000
0.670 0.170 0.000
0.830 0.670 0.000
0.000 0.500 0.500
0.073 0.797 0.500
0.203 0.073 0.500
0.297 0.573 0.500
0.427 0.297 0.500
0.500 0.000 0.500
0.573 0.703 0.500
0.703 0.427 0.500
0.797 0.927 0.500
0.927 0.203 0.500
0.000 0.000 0.000
0.500 0.500 0.000
0.125 0.625 0.000
0.375 0.125 0.000
0.625 0.875 0.000
0.875 0.375 0.000

# 4
Ce3Zr2ScN6 (PBE, relaxed); total energy = -9.25 eV/atom; ΔE_f (raw) = -19.82 eV per formula unit
1.0
2.913 -5.048 0.000
2.913 5.048 0.000
-1.940 0.000 5.655
Ce Zr Sc N
3 2 1 6
Direct
0.000 0.000 0.000
0.334 0.666 0.000
0.666 0.334 0.000
0.167 0.833 0.500
0.833 0.167 0.500
0.500 0.500 0.500
0.092 0.425 0.276
0.241 0.241 0.724
0.425 0.092 0.276
0.575 0.908 0.724
0.759 0.759 0.276
0.908 0.575 0.724